A | A plane-wave DFT calculation with PBE was carried out for crystalline Tm3Se3S at its relaxed geometry.

Results
For the density of states at the Fermi level, the calculation gives 0.32 states/eV per atom. For the total magnetic moment, the calculation gives 0.000 μB/f.u.

a b c (Å): 9.2662 16.0421 5.6455
angles (deg): 90.00 90.00 90.00
Closest atoms and distances in Å follow each position.
Space group Cmcm (No. 63)
Asymmetric unit:
Tm 0.0000 0.1714 0.2500  1 S 2.59, 4 Se 2.76-2.82
Tm 0.2422 0.4143 0.2500  1 S 2.59, 4 Se 2.75-2.82
Se 0.0000 0.1720 0.7500  4 Tm 2.76-2.82
Se 0.2413 0.4140 0.7500  4 Tm 2.75-2.82
S 0.0000 0.3331 0.2500  3 Tm 2.59

B | A plane-wave DFT calculation with PBE was carried out for crystalline Tm3Se3S at its relaxed geometry.

Results
For the density of states at the Fermi level, the calculation gives 0.44 states/eV per atom. For the total magnetic moment, the calculation gives 0.000 μB/f.u.

a b c (Å): 7.9072 12.8287 7.2236
angles (deg): 90.00 92.84 90.00
Closest atoms and distances in Å follow each position.
Space group C2/m (No. 12)
Asymmetric unit:
Tm 0.0407 0.0000 0.2520  2 S 2.61-2.81, 1 Se 2.74
Tm 0.2169 0.3279 0.2483  1 S 2.68, 5 Se 2.81-2.97
Se 0.0000 0.2089 0.0000  4 Tm 2.86-2.97
Se 0.0000 0.2254 0.5000  4 Tm 2.88-2.90
Se 0.2196 0.5000 0.0083  4 Tm 2.74-3.02
S 0.2482 0.5000 0.4579  4 Tm 2.61-2.81

Of them, B has the lowest stability.

A | A plane-wave DFT calculation with PBE was carried out for crystalline Tm3SeS2 at its relaxed geometry.

Results
For the density of states at the Fermi level, the calculation gives 0.59 states/eV per atom. For the total magnetic moment, the calculation gives 0.000 μB/f.u.

a b c (Å): 3.9179 13.1879 10.7531
angles (deg): 90.00 90.00 90.00
Closest atoms and distances in Å follow each position.
Space group Cmcm (No. 63)
Asymmetric unit:
Tm 0.0000 0.0965 0.2500  2 S 2.58, 2 Se 2.84
Tm 0.0000 0.3548 0.0555  3 S 2.58-2.80
Se 0.0000 0.2472 0.7500  6 Tm 2.84-3.17
S 0.0000 0.0000 0.0000  6 Tm 2.80-2.97
S 0.0000 0.4696 0.2500  4 Tm 2.58

B | A plane-wave DFT calculation with PBE was carried out for crystalline Tm3SeS2 at its relaxed geometry.

Results
For the density of states at the Fermi level, the calculation gives 0.40 states/eV per atom. For the total magnetic moment, the calculation gives 0.000 μB/f.u.

a b c (Å): 3.9071 5.5065 11.7070
angles (deg): 90.00 90.00 90.00
Closest atoms and distances in Å follow each position.
Space group Immm (No. 71)
Asymmetric unit:
Tm 0.0000 0.0000 0.0000  4 S 2.73, 2 Se 2.75
Tm 0.0000 0.0000 0.3212  4 S 2.69-2.76, 2 Se 2.86
Se 0.0000 0.5000 0.0000  6 Tm 2.75-2.86
S 0.0000 0.5000 0.3369  6 Tm 2.69-2.76

Of them, A has the lowest stability.

A | A plane-wave DFT calculation with PBE was carried out for crystalline U2Se2S at its relaxed geometry.

Results
For the density of states at the Fermi level, the calculation gives 1.76 states/eV per atom. For the total magnetic moment, the calculation gives 4.087 μB/f.u.

a b c (Å): 3.9410 3.9410 30.2213
angles (deg): 90.00 90.00 120.00
Closest atoms and distances in Å follow each position.
Space group R-3m (No. 166, hexagonal axes)
Asymmetric unit:
U 0.0000 0.0000 0.1150  3 S 2.76, 3 Se 2.81
Se 0.0000 0.0000 0.2731  3 U 2.81
S 0.0000 0.0000 0.5000  6 U 2.76

B | A plane-wave DFT calculation with PBE was carried out for crystalline U2Se2S at its relaxed geometry.

Results
For the density of states at the Fermi level, the calculation gives 2.92 states/eV per atom. For the total magnetic moment, the calculation gives 5.697 μB/f.u.

a b c (Å): 3.8979 5.6865 12.2197
angles (deg): 90.00 90.00 90.00
Closest atoms and distances in Å follow each position.
Space group Immm (No. 71)
Asymmetric unit:
U 0.0000 0.0000 0.1585  2 S 2.75, 4 Se 2.85-2.89
Se 0.0000 0.5000 0.1672  4 U 2.85-2.89
S 0.0000 0.5000 0.5000  4 U 2.75

Of them, B has the lowest stability.

A | A plane-wave DFT calculation with PBE was carried out for crystalline U2Se3S at its relaxed geometry.

Results
For the density of states at the Fermi level, the calculation gives 2.23 states/eV per atom. For the total magnetic moment, the calculation gives 4.000 μB/f.u.

a b c (Å): 15.9878 4.2649 10.9389
angles (deg): 90.00 117.32 90.00
Closest atoms and distances in Å follow each position.
Space group C2/m (No. 12)
Asymmetric unit:
U 0.1151 0.0000 0.4393  2 S 2.73, 5 Se 2.85-2.91
U 0.1443 0.5000 0.8250  2 S 2.70, 4 Se 2.82-2.87
Se 0.0523 0.5000 0.2448  3 U 2.85-2.87
Se 0.1587 0.0000 0.0073  3 U 2.82-2.86
Se 0.2275 0.5000 0.6224  4 U 2.89-3.06
S 0.0755 0.0000 0.6566  4 U 2.70-2.73

B | A plane-wave DFT calculation with PBE was carried out for crystalline U2Se3S at its relaxed geometry.

Results
For the density of states at the Fermi level, the calculation gives 1.64 states/eV per atom. For the total magnetic moment, the calculation gives 3.882 μB/f.u.

a b c (Å): 8.8756 9.2264 6.7362
angles (deg): 90.00 90.00 90.00
Closest atoms and distances in Å follow each position.
Space group Cmcm (No. 63)
Asymmetric unit:
U 0.2415 0.0000 0.0000  2 S 2.79, 6 Se 2.94-2.95
Se 0.0000 0.4218 0.2500  4 U 2.94
Se 0.1719 0.2532 0.7500  4 U 2.94-2.95, 1 Se 3.05
S 0.0000 0.0629 0.2500  4 U 2.79

Of them, B has the lowest stability.

A | A plane-wave DFT calculation with PBE was carried out for crystalline U2SeS at its relaxed geometry.

Results
For the density of states at the Fermi level, the calculation gives 1.83 states/eV per atom. For the total magnetic moment, the calculation gives 6.020 μB/f.u.

a b c (Å): 3.6746 7.6430 6.4425
angles (deg): 90.00 90.00 90.00
Closest atoms and distances in Å follow each position.
Space group Pmmn (No. 59, origin choice 2)
Asymmetric unit:
U 0.2500 0.0030 0.2328  3 S 2.80-2.82, 3 Se 2.92-2.93
Se 0.2500 0.2500 0.5787  6 U 2.92-2.93
S 0.2500 0.7500 0.9150  6 U 2.80-2.82

B | A plane-wave DFT calculation with PBE was carried out for crystalline U2SeS at its relaxed geometry.

Results
For the density of states at the Fermi level, the calculation gives 2.00 states/eV per atom. For the total magnetic moment, the calculation gives 6.062 μB/f.u.

a b c (Å): 3.7495 3.7495 22.3173
angles (deg): 90.00 90.00 120.00
Closest atoms and distances in Å follow each position.
Space group R3m (No. 160, hexagonal axes)
Asymmetric unit:
U 0.0000 0.0000 0.0000  3 S 2.82, 3 Se 2.87
U 0.0000 0.0000 0.1639  3 S 2.85, 3 Se 2.88
Se 0.0000 0.0000 0.5826  6 U 2.87-2.88
S 0.0000 0.0000 0.4143  6 U 2.82-2.85

Of them, A has the lowest stability.

A | A plane-wave DFT calculation with PBE was carried out for crystalline U2SeS at its relaxed geometry.

Results
For the density of states at the Fermi level, the calculation gives 1.90 states/eV per atom. For the total magnetic moment, the calculation gives 4.673 μB/f.u.

a b c (Å): 3.8246 3.8246 20.7011
angles (deg): 90.00 90.00 120.00
Closest atoms and distances in Å follow each position.
Space group R-3m (No. 166, hexagonal axes)
Asymmetric unit:
U 0.0000 0.0000 0.2445  3 S 2.73, 3 Se 2.87
Se 0.0000 0.0000 0.0000  6 U 2.87
S 0.0000 0.0000 0.5000  6 U 2.73

B | A plane-wave DFT calculation with PBE was carried out for crystalline U2SeS at its relaxed geometry.

Results
For the density of states at the Fermi level, the calculation gives 2.32 states/eV per atom. For the total magnetic moment, the calculation gives 6.803 μB/f.u.

a b c (Å): 3.4696 3.4696 6.9322
angles (deg): 90.00 90.00 90.00
Closest atoms and distances in Å follow each position.
Space group P4/mmm (No. 123)
Asymmetric unit:
U 0.0000 0.0000 0.2385  4 S 2.96, 4 Se 3.05, 1 U 3.31
Se 0.5000 0.5000 0.5000  8 U 3.05
S 0.5000 0.5000 0.0000  8 U 2.96

Of them, B has the lowest stability.